## CoTeH (PBE)

Data for an optimized crystal structure of CoTeH.

The structure in POSCAR format:
```
CoTeH
1.0
4.059 0.000 0.000
0.000 4.059 0.000
0.000 0.000 6.172
H Te Co
2 2 2
direct
0.000 0.500 0.993
0.500 0.000 0.007
0.000 0.500 0.276
0.500 0.000 0.724
0.000 0.000 0.500
0.500 0.500 0.500
```

Total DFT energy (no corrections) = -4.22 eV per atom
DOS(E_F) = 0.447 states/eV per atom

***

## Pm2YScTe4 (PBE)

Data for an optimized crystal structure of Pm2YScTe4.

The structure in POSCAR format:
```
Pm2YScTe4
1.0
-0.959 2.538 3.359
1.258 -5.857 4.784
7.253 0.038 2.043
Pm Y Sc Te
2 1 1 4
direct
0.000 0.000 0.000
0.500 0.000 0.500
0.000 0.500 0.500
0.500 0.500 0.000
0.000 0.731 0.763
0.000 0.269 0.237
0.500 0.736 0.248
0.500 0.264 0.752
```

Total DFT energy (no corrections) = -5.66 eV per atom
DOS(E_F) = 0.652 states/eV per atom
Raw formation energy = -125.3 kJ per mole of atoms

***

## Pr3Ge2Pd (PBE)

Data for an optimized crystal structure of Pr3Ge2Pd.

The structure in POSCAR format:
```
Pr3Ge2Pd
1.0
-0.716 -2.411 -3.649
9.773 -6.303 2.247
-6.529 -7.823 6.452
Pr Ge Pd
12 8 4
direct
0.250 0.372 0.055
0.750 0.628 0.945
0.750 0.872 0.445
0.250 0.128 0.555
0.250 0.693 0.215
0.750 0.307 0.785
0.750 0.193 0.285
0.250 0.807 0.715
0.250 0.441 0.378
0.750 0.559 0.622
0.750 0.941 0.122
0.250 0.059 0.878
0.250 0.688 0.484
0.750 0.312 0.516
0.750 0.188 0.016
0.250 0.812 0.984
0.250 0.000 0.312
0.750 0.000 0.688
0.750 0.500 0.188
0.250 0.500 0.812
0.250 0.128 0.128
0.750 0.872 0.872
0.750 0.628 0.372
0.250 0.372 0.628
```

Total DFT energy (no corrections) = -5.61 eV per atom
ΔE_f = -0.8183 eV/atom
DOS(E_F) = 0.754 states/eV per atom

***

## ZnCdRh2 (PBE)

Data for an optimized crystal structure of ZnCdRh2.

The structure in POSCAR format:
```
ZnCdRh2
1.0
2.802 0.002 0.000
-1.196 2.533 0.000
0.000 0.000 8.775
Cd Rh Zn
1 2 1
direct
0.500 0.500 0.750
0.000 0.000 0.016
0.000 0.000 0.484
0.500 0.500 0.250
```

Total DFT energy (no corrections) = -4.29 eV per atom
ΔE_f = -0.0715 eV/atom
DOS(E_F) = 0.488 states/eV per atom

***

## NaSmSe (PBE)

Data for an optimized crystal structure of NaSmSe.

The structure in POSCAR format:
```
NaSmSe
1.0
5.343 0.809 0.547
3.370 4.225 0.547
3.802 2.196 10.195
Na Sm Se
2 2 2
direct
0.480 0.480 0.214
0.273 0.273 0.093
0.599 0.599 0.501
0.154 0.154 0.806
0.309 0.309 0.510
0.445 0.445 0.797
```

Total DFT energy (no corrections) = -4.03 eV per atom
DOS(E_F) = 0.818 states/eV per atom
Raw formation energy = -83.0 kJ per mole of atoms

***

## Rb5Np2Br12 (PBE)

Data for an optimized crystal structure of Rb5Np2Br12.

The structure in POSCAR format:
```
Rb5Np2Br12
1.0
-6.175 -5.016 3.820
8.248 -5.423 -3.982
2.420 4.379 9.660
Rb Np Br
5 2 12
direct
0.278 0.557 0.599
0.326 0.653 0.211
0.000 0.000 0.500
0.674 0.347 0.789
0.722 0.443 0.401
0.750 0.000 0.000
0.250 0.000 0.000
0.024 0.048 0.184
0.105 0.697 0.944
0.592 0.697 0.944
0.112 0.719 0.453
0.607 0.719 0.453
0.481 0.963 0.815
0.519 0.037 0.185
0.888 0.281 0.547
0.393 0.281 0.547
0.895 0.303 0.056
0.408 0.303 0.056
0.976 0.952 0.816
```

Total DFT energy (no corrections) = -4.17 eV per atom
DOS(E_F) = 0.779 states/eV per atom
Raw formation energy = -144.0 kJ per mole of atoms

***

## TaInTe2 (PBE)

Data for an optimized crystal structure of TaInTe2.

The structure in POSCAR format:
```
TaInTe2
1.0
3.605 0.000 0.000
0.000 5.662 0.000
0.000 0.000 4.750
In Ta Te
1 1 2
direct
0.500 0.000 0.500
0.000 0.500 0.500
0.000 0.000 0.000
0.500 0.500 0.000
```

Total DFT energy (no corrections) = -4.66 eV per atom
DOS(E_F) = 0.958 states/eV per atom
Raw formation energy = 54.1 kJ per mole of atoms

***

## PrSmMg (PBE)

Data for an optimized crystal structure of PrSmMg.

The structure in POSCAR format:
```
PrSmMg
1.0
5.457 0.016 -0.790
0.032 3.456 0.285
1.440 2.592 9.997
Pr Sm Mg
2 2 2
direct
0.976 0.063 0.746
0.476 0.221 0.582
0.477 0.375 0.933
0.977 0.909 0.395
0.478 0.564 0.245
0.978 0.720 0.084
```

Total DFT energy (no corrections) = -3.68 eV per atom
ΔE_f = 0.0165 eV/atom
DOS(E_F) = 1.181 states/eV per atom

***

In order of appearance, magnetic moment = 0.6 0.0 0.7 0.0 0.1 6.9 0.0 0.0 μB/f.u..